# 1
Compound: Tc2PtAu
Source: Alexandria via LeMat-Bulk
Functional: PBE
Structure: relaxed

The value obtained for the formation energy is 1341 meV/atom.

The structure in POSCAR format:
```
Tc2PtAu
1.0
-3.613 1.445 4.190
-4.402 -0.539 -3.610
-4.517 -4.970 1.721
Au Tc Pt
2 4 2
Direct
0.000 0.000 0.000 Au
0.750 0.250 0.500 Au
0.610 0.125 0.250 Tc
0.140 0.625 0.250 Tc
0.375 0.390 0.750 Tc
0.875 0.860 0.750 Tc
0.500 0.500 0.000 Pt
0.250 0.750 0.500 Pt
```

# 2
Compound: TcPtAu2
Source: Alexandria via LeMat-Bulk
Functional: PBE
Structure: relaxed

The value obtained for the formation energy is 112 meV/atom.

The structure in POSCAR format:
```
TcPtAu2
1.0
-3.858 8.544 -1.803
-5.514 7.783 0.386
-2.996 9.023 0.869
Au Pt Tc
2 1 1
Direct
0.004 0.004 0.004 Au
0.248 0.248 0.248 Au
0.495 0.495 0.495 Pt
0.753 0.753 0.753 Tc
```

# 3
Compound: TcPtAu
Source: Alexandria via LeMat-Bulk
Functional: PBE
Structure: relaxed

The value obtained for the formation energy is -59 meV/atom.

The structure in POSCAR format:
```
TcPtAu
1.0
2.798 0.000 0.000
0.000 2.798 0.000
0.000 0.000 12.275
Au Pt Tc
2 2 2
Direct
0.000 0.500 0.591 Au
0.500 0.000 0.409 Au
0.000 0.500 0.231 Pt
0.500 0.000 0.769 Pt
0.500 0.000 0.074 Tc
0.000 0.500 0.926 Tc
```

# 4
Compound: TcPt2Au
Source: Alexandria via LeMat-Bulk
Functional: PBE
Structure: relaxed

The value obtained for the formation energy is 126 meV/atom.

The structure in POSCAR format:
```
TcPt2Au
1.0
-4.577 -0.841 -1.470
0.067 -2.342 -4.281
2.275 -0.878 4.227
Au Pt Tc
1 2 1
Direct
0.750 0.250 0.500 Au
0.000 0.000 0.000 Pt
0.250 0.750 0.500 Pt
0.500 0.500 0.000 Tc
```

# 5
Compound: Tc2PtAu
Source: Alexandria via LeMat-Bulk
Functional: PBE
Structure: relaxed

The value obtained for the formation energy is 209 meV/atom.

The structure in POSCAR format:
```
Tc2PtAu
1.0
9.388 -0.014 -0.008
8.978 2.743 -0.008
8.978 1.334 2.397
Au Pt Tc
1 1 2
Direct
0.250 0.250 0.250 Au
0.750 0.750 0.750 Pt
0.003 0.003 0.003 Tc
0.497 0.497 0.497 Tc
```

# 6
Compound: Tc2Pt2Au
Source: Alexandria via LeMat-Bulk
Functional: PBE
Structure: relaxed

The value obtained for the formation energy is 207 meV/atom.

The structure in POSCAR format:
```
Tc2Pt2Au
1.0
7.764 0.000 0.000
0.000 7.764 0.000
0.000 0.000 2.745
Au Tc Pt
2 4 4
Direct
0.000 0.000 0.000 Au
0.500 0.500 0.000 Au
0.386 0.886 0.000 Tc
0.886 0.614 0.000 Tc
0.614 0.114 0.000 Tc
0.114 0.386 0.000 Tc
0.176 0.676 0.500 Pt
0.676 0.824 0.500 Pt
0.824 0.324 0.500 Pt
0.324 0.176 0.500 Pt
```

# 7
Compound: TcPtAu2
Source: Alexandria via LeMat-Bulk
Functional: PBE
Structure: relaxed

The value obtained for the formation energy is 140 meV/atom.

The structure in POSCAR format:
```
TcPtAu2
1.0
-1.608 -2.047 -1.079
2.711 -0.753 -2.612
2.589 -4.069 3.860
Au Pt Tc
2 1 1
Direct
0.000 0.000 0.991 Au
0.500 0.500 0.256 Au
0.000 0.000 0.529 Pt
0.500 0.500 0.723 Tc
```

# 8
Compound: TcPt2Au
Source: Alexandria via LeMat-Bulk
Functional: PBE
Structure: relaxed

The value obtained for the formation energy is 51 meV/atom.

The structure in POSCAR format:
```
TcPt2Au
1.0
-0.332 -4.809 -0.517
1.546 -3.935 -2.373
3.659 -1.334 3.074
Au Pt Tc
1 2 1
Direct
0.246 0.246 0.248 Au
0.002 0.002 0.999 Pt
0.755 0.755 0.733 Pt
0.496 0.496 0.519 Tc
```

# 9
Compound: TcPt2Au
Source: Alexandria via LeMat-Bulk
Functional: PBE
Structure: relaxed

The value obtained for the formation energy is 76 meV/atom.

The structure in POSCAR format:
```
TcPt2Au
1.0
2.788 0.000 0.000
0.000 3.958 0.000
0.000 0.000 5.770
Au Pt Tc
1 2 1
Direct
0.500 0.500 0.748 Au
0.000 0.000 0.008 Pt
0.500 0.500 0.265 Pt
0.000 0.000 0.479 Tc
```

# 10
Compound: Tc2Pt2Au
Source: Alexandria via LeMat-Bulk
Functional: PBE
Structure: relaxed

The value obtained for the formation energy is 297 meV/atom.

The structure in POSCAR format:
```
Tc2Pt2Au
1.0
-0.852 1.854 -3.208
2.752 -1.888 -1.822
-2.942 -4.299 -3.956
Au Tc Pt
1 2 2
Direct
0.000 0.000 0.000 Au
0.406 0.406 0.189 Tc
0.594 0.594 0.811 Tc
0.750 0.250 0.500 Pt
0.250 0.750 0.500 Pt
```

# 11
Compound: Tc2PtAu
Source: Alexandria via LeMat-Bulk
Functional: PBE
Structure: relaxed

The value obtained for the formation energy is 182 meV/atom.

The structure in POSCAR format:
```
Tc2PtAu
1.0
2.739 -0.003 0.000
0.003 2.739 0.000
0.000 0.000 8.269
Au Pt Tc
1 1 2
Direct
0.500 0.500 0.250 Au
0.500 0.500 0.750 Pt
0.000 0.000 0.992 Tc
0.000 0.000 0.508 Tc
```

# 12
Compound: Tc2PtAu
Source: Alexandria via LeMat-Bulk
Functional: PBE
Structure: relaxed

The value obtained for the formation energy is 218 meV/atom.

The structure in POSCAR format:
```
Tc2PtAu
1.0
-1.864 2.587 -0.889
-1.649 -1.921 -2.133
-3.827 -1.329 4.154
Au Pt Tc
1 1 2
Direct
0.000 0.000 0.499 Au
0.500 0.500 0.760 Pt
0.000 0.000 0.019 Tc
0.500 0.500 0.222 Tc
```

# 13
Compound: TcPt2Au
Source: Alexandria via LeMat-Bulk
Functional: PBE
Structure: relaxed

The value obtained for the formation energy is 64 meV/atom.

The structure in POSCAR format:
```
TcPt2Au
1.0
4.838 0.000 0.006
4.031 2.675 0.006
0.763 0.230 4.895
Au Pt Tc
1 2 1
Direct
0.250 0.250 0.250 Au
0.007 0.007 0.987 Pt
0.493 0.493 0.513 Pt
0.750 0.750 0.750 Tc
```

# 14
Compound: TcPt2Au
Source: Alexandria via LeMat-Bulk
Functional: PBE
Structure: relaxed

The value obtained for the formation energy is 27 meV/atom.

The structure in POSCAR format:
```
TcPt2Au
1.0
2.805 0.000 0.000
0.000 2.805 0.000
0.000 0.000 8.071
Au Pt Tc
1 2 1
Direct
0.500 0.500 0.743 Au
0.000 0.000 0.008 Pt
0.500 0.500 0.262 Pt
0.000 0.000 0.487 Tc
```

# 15
Compound: Tc2PtAu
Source: Alexandria via LeMat-Bulk
Functional: PBE
Structure: relaxed

The value obtained for the formation energy is 132 meV/atom.

The structure in POSCAR format:
```
Tc2PtAu
1.0
-1.939 -4.092 -0.330
2.441 -1.104 -0.649
0.907 -0.817 4.804
Au Pt Tc
1 1 2
Direct
0.000 0.625 0.471 Au
0.500 0.625 0.785 Pt
0.000 0.125 0.982 Tc
0.500 0.125 0.262 Tc
```

# 16
Compound: Tc2PtAu
Source: Alexandria via LeMat-Bulk
Functional: PBE
Structure: relaxed

The value obtained for the formation energy is 0 meV/atom.

The structure in POSCAR format:
```
Tc2PtAu
1.0
-0.968 -2.856 9.023
1.803 -2.628 8.964
0.235 -0.396 9.502
Au Pt Tc
1 1 2
Direct
0.502 0.502 0.502 Au
0.746 0.746 0.746 Pt
0.996 0.996 0.996 Tc
0.257 0.257 0.257 Tc
```

# 17
Compound: TcPtAu
Source: Alexandria via LeMat-Bulk
Functional: PBE
Structure: relaxed

The value obtained for the formation energy is 93 meV/atom.

The structure in POSCAR format:
```
TcPtAu
1.0
-1.512 2.156 -1.001
-1.153 -1.795 1.839
2.200 3.991 5.274
Au Pt Tc
1 1 1
Direct
0.000 0.000 0.995 Au
0.667 0.333 0.349 Pt
0.333 0.667 0.656 Tc
```

# 18
Compound: TcPt2Au
Source: Alexandria via LeMat-Bulk
Functional: PBE
Structure: relaxed

The value obtained for the formation energy is 219 meV/atom.

The structure in POSCAR format:
```
TcPt2Au
1.0
3.906 0.000 0.000
0.000 4.082 0.000
0.000 0.000 4.082
Au Pt Tc
1 2 1
Direct
0.500 0.000 0.500 Au
0.000 0.000 0.000 Pt
0.000 0.500 0.500 Pt
0.500 0.500 0.000 Tc
```

# 19
Compound: TcPt2Au
Source: Alexandria via LeMat-Bulk
Functional: PBE
Structure: relaxed

The value obtained for the formation energy is 496 meV/atom.

The structure in POSCAR format:
```
TcPt2Au
1.0
-1.155 1.094 7.011
3.986 -5.777 1.558
3.657 -0.762 4.407
Au Tc Pt
2 2 4
Direct
0.000 0.000 0.000 Au
0.750 0.250 0.500 Au
0.500 0.500 0.000 Tc
0.250 0.750 0.500 Tc
0.604 0.125 0.250 Pt
0.146 0.625 0.250 Pt
0.375 0.396 0.750 Pt
0.875 0.854 0.750 Pt
```

# 20
Compound: Tc2PtAu
Source: Alexandria via LeMat-Bulk
Functional: PBE
Structure: relaxed

The value obtained for the formation energy is 20 meV/atom.

The structure in POSCAR format:
```
Tc2PtAu
1.0
2.794 0.000 0.000
0.000 2.794 0.000
0.000 0.000 8.018
Au Pt Tc
1 1 2
Direct
0.000 0.000 0.494 Au
0.500 0.500 0.767 Pt
0.000 0.000 0.010 Tc
0.500 0.500 0.229 Tc
```

| no. | energy relative to the lowest polymorph listed for this composition (meV per atom) |
| --- | --- |
| 1 | 1340.4 |
| 2 | 56.1 |
| 3 | 0.0 |
| 4 | 236.7 |
| 5 | 209.0 |
| 6 | 0.0 |
| 7 | 84.0 |
| 8 | 161.9 |
| 9 | 186.8 |
| 10 | 90.0 |
| 11 | 182.1 |
| 12 | 217.5 |
| 13 | 174.8 |
| 14 | 137.7 |
| 15 | 131.4 |
| 16 | 0.0 |
| 17 | 152.5 |
| 18 | 330.3 |
| 19 | 606.8 |
| 20 | 19.7 |